VAuI2 | Alexandria | GGA-PBE | relaxed; final energy = -3.576 eV per atom
1.0
6.6192 0.0000 0.0000
0.0000 6.6192 0.0000
3.3096 3.3096 6.2786
I Au V
4 2 2
direct
0.6067 0.1250 0.2500
0.1433 0.6250 0.2500
0.3750 0.3933 0.7500
0.8750 0.8567 0.7500
0.0000 0.0000 0.0000
0.7500 0.2500 0.5000
0.5000 0.5000 0.0000
0.2500 0.7500 0.5000

VAuI6 | Alexandria | GGA-PBE | relaxed; final energy = -2.919 eV per atom
1.0
7.6488 -0.8110 -2.1160
-4.4028 6.3545 -2.1756
0.0392 0.0648 7.0670
V Au I
1 1 6
direct
0.5000 0.0000 0.0000
0.0000 0.0000 0.0000
0.9241 0.1719 0.3236
0.6005 0.8483 0.6764
0.3995 0.1517 0.3236
0.0759 0.8281 0.6764
0.3009 0.6096 0.0000
0.6991 0.3904 0.0000

V3AuI | Alexandria | GGA-PBE | relaxed; final energy = -5.185 eV per atom
1.0
-0.4244 4.8047 1.3325
-2.4639 0.9605 -4.2482
-4.3347 -1.0164 2.2843
I Au V
1 1 3
direct
0.5000 0.5000 0.5000
0.0000 0.0000 0.0000
0.0000 0.5000 0.0000
0.0000 0.0000 0.5000
0.5000 0.0000 0.0000

VAu3I | Alexandria | GGA-PBE | relaxed; final energy = -3.247 eV per atom
1.0
-0.6526 4.4419 -2.3111
-4.5097 -1.5342 -1.6753
-2.1759 1.8475 4.1653
I Au V
1 3 1
direct
0.5000 0.5000 0.5000
0.0000 0.5000 0.0000
0.0000 0.0000 0.5000
0.5000 0.0000 0.0000
0.0000 0.0000 0.0000